# Mg5In2NiRh2 | the Alexandria database | PBE-GGA | relaxed
# Energy of formation from the pure elements ... -0.239 eV per atom
# Magnetic moment ... 0.0 μB per cell
# DOS at the Fermi energy ... 9.2 states/eV per cell
data_Mg5In2NiRh2
_symmetry_space_group_name_H-M 'P 4/m b m'
_symmetry_Int_Tables_number 127
_symmetry_space_group_name_Hall '-P 4 2ab'
_cell_length_a 9.604
_cell_length_b 9.604
_cell_length_c 4.019
_cell_angle_alpha 90.00
_cell_angle_beta 90.00
_cell_angle_gamma 90.00
loop_
_atom_site_label
_atom_site_type_symbol
_atom_site_fract_x
_atom_site_fract_y
_atom_site_fract_z
_atom_site_occupancy
Mg1 Mg 0.000 0.500 0.000 1
Mg2 Mg 0.075 0.198 0.000 1
In1 In 0.172 0.672 0.500 1
Ni1 Ni 0.000 0.000 0.500 1
Rh1 Rh 0.123 0.377 0.500 1

# MgInNiRu | the Alexandria database | PBE-GGA | relaxed
# Energy of formation from the pure elements ... -0.085 eV per atom
# Magnetic moment ... 0.0 μB per cell
# DOS at the Fermi energy ... 8.7 states/eV per cell
data_MgInNiRu
_symmetry_space_group_name_H-M 'F -4 3 m'
_symmetry_Int_Tables_number 216
_symmetry_space_group_name_Hall 'F -4 2 3'
_cell_length_a 6.284
_cell_length_b 6.284
_cell_length_c 6.284
_cell_angle_alpha 90.00
_cell_angle_beta 90.00
_cell_angle_gamma 90.00
loop_
_atom_site_label
_atom_site_type_symbol
_atom_site_fract_x
_atom_site_fract_y
_atom_site_fract_z
_atom_site_occupancy
Mg1 Mg 0.000 0.000 0.000 1
In1 In 0.000 0.000 0.500 1
Ni1 Ni 0.250 0.250 0.750 1
Ru1 Ru 0.250 0.250 0.250 1

# Mg2InSi2Ni5 | the Alexandria database | PBE-GGA | relaxed
# Magnetic moment ... 0.0 μB per cell
# Formation energy from raw total energies ... -0.36 eV/atom
# DOS at the Fermi energy ... 12.3 states/eV per cell
data_Mg2InSi2Ni5
_symmetry_space_group_name_H-M 'P 4/m b m'
_symmetry_Int_Tables_number 127
_symmetry_space_group_name_Hall '-P 4 2ab'
_cell_length_a 9.129
_cell_length_b 9.129
_cell_length_c 3.355
_cell_angle_alpha 90.00
_cell_angle_beta 90.00
_cell_angle_gamma 90.00
loop_
_atom_site_label
_atom_site_type_symbol
_atom_site_fract_x
_atom_site_fract_y
_atom_site_fract_z
_atom_site_occupancy
Mg1 Mg 0.175 0.325 0.000 1
In1 In 0.000 0.000 0.000 1
Si1 Si 0.122 0.622 0.000 1
Ni1 Ni 0.000 0.500 0.500 1
Ni2 Ni 0.068 0.781 0.500 1

# SrMgIn2Ni | the Alexandria database | PBE-GGA | relaxed
# Energy of formation from the pure elements ... -0.240 eV per atom
# Magnetic moment ... 0.0 μB per cell
# DOS at the Fermi energy ... 3.0 states/eV per cell
data_SrMgIn2Ni
_symmetry_space_group_name_H-M 'P 4/m m m'
_symmetry_Int_Tables_number 123
_symmetry_space_group_name_Hall '-P 4 2'
_cell_length_a 5.038
_cell_length_b 5.038
_cell_length_c 4.951
_cell_angle_alpha 90.00
_cell_angle_beta 90.00
_cell_angle_gamma 90.00
loop_
_atom_site_label
_atom_site_type_symbol
_atom_site_fract_x
_atom_site_fract_y
_atom_site_fract_z
_atom_site_occupancy
Sr1 Sr 0.000 0.000 0.000 1
Mg1 Mg 0.500 0.500 0.000 1
In1 In 0.000 0.500 0.500 1
Ni1 Ni 0.500 0.500 0.500 1